VASP calculation (PBE-GGA) on an optimized crystal structure of Ba2SiGeBr.

Summary:
Density of states at the Fermi level, states/eV per atom: 0.705
Formation energy (no corrections), meV per atom: -24
Total energy, eV/atom: -3.136
Density, g cm⁻³: 3.647

Lattice parameters (Å, degrees): 6.3516 6.3516 5.1391 90.00 90.00 90.00
Space group P4/mmm (No. 123)
Inequivalent atoms, fractional coordinates:
Ba1 0.0000 0.5000 0.0000
Si1 0.0000 0.0000 0.0000
Ge1 0.5000 0.5000 0.5000
Br1 0.0000 0.0000 0.5000